<i>
VASP calculation (PBE) on crystalline TlTcSbI2 at its relaxed geometry.

DOS(E_F) (states/eV/cell): 2.59
Total magnetization (μB/cell): 4.05
Calculated density (g/cm3): 5.23
SG: P4/mmm

abc: 6.059 6.059 5.868
angles: 90.00 90.00 90.00
Site moments in Bohr magnetons follow the coordinates.
Fractional coordinates of all 5 atoms:
I 0.500 0.000 0.000  0.00
I 0.000 0.500 0.000  0.00
Tl 0.000 0.000 0.000  0.01
Sb 0.000 0.000 0.500  -0.39
Tc 0.500 0.500 0.500  4.12

<ii>
VASP calculation (PBE) on crystalline TlTcSbI2 at its relaxed geometry.

DOS(E_F) (states/eV/cell): 3.92
Total magnetization (μB/cell): 1.69
Calculated density (g/cm3): 6.56
SG: P4/mmm

abc: 5.803 5.803 5.098
angles: 90.00 90.00 90.00
Site moments in Bohr magnetons follow the coordinates.
Fractional coordinates of all 5 atoms:
Tl 0.500 0.500 0.500  0.01
I 0.000 0.500 0.000  0.01
I 0.500 0.000 0.000  0.01
Sb 0.000 0.000 0.500  -0.07
Tc 0.000 0.000 0.000  1.53

Name the least stable of them. <i>.

<i>
VASP calculation (PBE) on crystalline YTcSbI2 at its relaxed geometry.

DOS(E_F) (states/eV/cell): 5.81
Total magnetization (μB/cell): 0.16
Calculated density (g/cm3): 6.17
SG: P4/mmm

abc: 5.422 5.422 5.154
angles: 90.00 90.00 90.00
Site moments in Bohr magnetons follow the coordinates.
Fractional coordinates of all 5 atoms:
Tc 0.000 0.000 0.000  0.15
Sb 0.000 0.000 0.500  0.00
I 0.500 0.000 0.000  0.00
I 0.000 0.500 0.000  0.00
Y 0.500 0.500 0.500  -0.01

<ii>
VASP calculation (PBE) on crystalline YTcSbI2 at its relaxed geometry.

DOS(E_F) (states/eV/cell): 3.35
Total magnetization (μB/cell): 4.82
Calculated density (g/cm3): 4.47
SG: P4/mmm

abc: 5.826 5.826 6.159
angles: 90.00 90.00 90.00
Site moments in Bohr magnetons follow the coordinates.
Fractional coordinates of all 5 atoms:
I 0.500 0.000 0.000  0.02
I 0.000 0.500 0.000  0.02
Tc 0.500 0.500 0.500  4.01
Sb 0.000 0.000 0.500  -0.09
Y 0.000 0.000 0.000  0.03

Name the least stable of them. <ii>.

<i>
VASP calculation (PBE) on crystalline ZnTcSb2I at its relaxed geometry.

DOS(E_F) (states/eV/cell): 3.09
Total magnetization (μB/cell): 0.00
Calculated density (g/cm3): 5.79
SG: P4/mmm

abc: 5.078 5.078 5.936
angles: 90.00 90.00 90.00
Fractional coordinates of all 5 atoms:
Zn 0.500 0.500 0.500
I 0.000 0.000 0.500
Tc 0.000 0.000 0.000
Sb 0.000 0.500 0.000
Sb 0.500 0.000 0.000

<ii>
VASP calculation (PBE) on crystalline ZnTcSb2I at its relaxed geometry.

DOS(E_F) (states/eV/cell): 2.98
Total magnetization (μB/cell): 3.56
Calculated density (g/cm3): 5.94
SG: P4/mmm

abc: 5.161 5.161 5.605
angles: 90.00 90.00 90.00
Site moments in Bohr magnetons follow the coordinates.
Fractional coordinates of all 5 atoms:
Tc 0.500 0.500 0.500  3.56
Zn 0.000 0.000 0.000  -0.01
I 0.000 0.000 0.500  -0.02
Sb 0.500 0.000 0.000  -0.13
Sb 0.000 0.500 0.000  -0.13

Name the least stable of them. <ii>.

<i>
VASP calculation (PBE) on crystalline SbTe2I at its relaxed geometry.

DOS(E_F) (states/eV/cell): 3.28
Total magnetization (μB/cell): 0.00
Calculated density (g/cm3): 6.07
SG: R-3m

abc: 14.404 14.404 14.404
angles: 13.31 13.31 13.31
Fractional coordinates of all 4 atoms:
Te 0.072 0.072 0.072
Te 0.928 0.928 0.928
Sb 0.000 0.000 0.000
I 0.500 0.500 0.500

<ii>
VASP calculation (PBE) on crystalline SbTe2I at its relaxed geometry.

DOS(E_F) (states/eV/cell): 4.89
Total magnetization (μB/cell): 0.00
Calculated density (g/cm3): 7.10
SG: Fm-3m

abc: 5.504 5.504 5.504
angles: 60.00 60.00 60.00
Fractional coordinates of all 4 atoms:
Te 0.250 0.250 0.250
Te 0.750 0.750 0.750
I 0.500 0.500 0.500
Sb 0.000 0.000 0.000

<iii>
VASP calculation (PBE) on crystalline SbTe2I at its relaxed geometry.

DOS(E_F) (states/eV/cell): 3.24
Total magnetization (μB/cell): 0.00
Calculated density (g/cm3): 5.59
SG: P2_1/c

abc: 5.462 7.948 14.666
angles: 69.99 90.00 90.00
Fractional coordinates of all 16 atoms:
Te 0.323 0.526 0.567
Te 0.179 0.618 0.938
Te 0.823 0.974 0.933
Te 0.821 0.382 0.062
Te 0.321 0.118 0.438
Te 0.177 0.026 0.067
Te 0.677 0.474 0.433
Te 0.679 0.882 0.562
Sb 0.989 0.793 0.420
Sb 0.511 0.293 0.920
Sb 0.011 0.207 0.580
Sb 0.489 0.707 0.080
I 0.902 0.482 0.746
I 0.098 0.518 0.254
I 0.598 0.982 0.246
I 0.402 0.018 0.754

<iv>
VASP calculation (PBE) on crystalline SbTe2I at its relaxed geometry.

DOS(E_F) (states/eV/cell): 1.32
Total magnetization (μB/cell): 0.00
Calculated density (g/cm3): 5.50
SG: I-42d

abc: 8.315 8.315 7.344
angles: 55.52 55.52 90.00
Fractional coordinates of all 8 atoms:
Te 0.582 0.125 0.250
Te 0.375 0.418 0.750
Te 0.168 0.625 0.250
Te 0.875 0.832 0.750
I 0.000 0.000 0.000
I 0.750 0.250 0.500
Sb 0.250 0.750 0.500
Sb 0.500 0.500 0.000

Name the least stable of them. <ii>.